i:
GdSi2Ge2: optimized geometry, PBE-GGA.

Its crystal system is tetragonal. The total magnetization comes out at 0.044 Bohr magnetons per cell.

It has space group I4/mmm (No. 139), with a = 4.3128 Å, b = 4.3128 Å, c = 10.6891 Å, α = 90.00°, β = 90.00° and γ = 90.00°. The distinct sites, in fractional coordinates, are Gd at (0.0000, 0.0000, 0.0000), Si at (0.0000, 0.0000, 0.3922) and Ge at (0.0000, 0.5000, 0.2500).

ii:
GdSi2Ge2: optimized geometry, PBE-GGA.

Its crystal system is trigonal. The total magnetization comes out at 0.026 Bohr magnetons per cell.

It has space group P-3m1 (No. 164), with a = 4.3745 Å, b = 4.3745 Å, c = 6.2059 Å, α = 90.00°, β = 90.00° and γ = 120.00°. The distinct sites, in fractional coordinates, are Gd at (0.0000, 0.0000, 0.0000), Si at (0.3333, 0.6667, 0.7301) and Ge at (0.3333, 0.6667, 0.3293).

Pick the least stable structure from those above. Pick: i